Here is RbCu2Ge2 after structural relaxation from Alexandria via LeMat-Bulk. Energies are from PBE.

a b c (Å): 8.3647 8.3647 2.8946
angles (deg): 90.00 90.00 90.00
With the nearest neighbours (Å) after each atom.
Fractional coordinates of all 10 atoms:
Ge1 0.3612 0.1388 0.5000  4 Cu 2.61, 2 Ge 2.89
Ge2 0.6388 0.8612 0.5000  4 Cu 2.61, 2 Ge 2.89
Rb1 0.0000 0.0000 0.0000  2 Rb 2.89
Rb2 0.5000 0.5000 0.0000  2 Rb 2.89
Cu1 0.6206 0.1206 0.0000  4 Ge 2.61, 3 Cu 2.85-2.89
Ge3 0.1388 0.6388 0.5000  4 Cu 2.61, 2 Ge 2.89
Ge4 0.8612 0.3612 0.5000  4 Cu 2.61, 2 Ge 2.89
Cu2 0.3794 0.8794 0.0000  4 Ge 2.61, 3 Cu 2.85-2.89
Cu3 0.8794 0.6206 0.0000  4 Ge 2.61, 3 Cu 2.85-2.89
Cu4 0.1206 0.3794 0.0000  4 Ge 2.61, 3 Cu 2.85-2.89

Summary:
Crystal system: tetragonal
Mass density: 5.87 Mg/m³
V: 203 Å³/cell

---

Here is TaInNi2 after structural relaxation from Alexandria via LeMat-Bulk. Energies are from PBE.

a b c (Å): 3.1715 3.1794 6.8986
angles (deg): 62.62 90.00 90.00
With the nearest neighbours (Å) after each atom.
Fractional coordinates of all 4 atoms:
Ni1 0.0000 0.5363 0.4646  4 Ta 2.60, 1 Ni 2.63, 4 In 2.84-2.85
Ni2 0.0000 0.9637 0.0354  4 Ta 2.60, 1 Ni 2.63, 4 In 2.84-2.85
In1 0.5000 0.7500 0.7500  8 Ni 2.84-2.85, 2 Ta 3.06, 4 In 3.17-3.18
Ta1 0.5000 0.2500 0.2500  8 Ni 2.60

Summary:
Crystal system: tetragonal
Mass density: 11.11 Mg/m³
V: 62 Å³/cell

---

Here is DyTm9Sc2 after structural relaxation from Alexandria via LeMat-Bulk. Energies are from PBE.

a b c (Å): 4.8883 4.8883 14.6514
angles (deg): 90.00 90.00 90.00
With the nearest neighbours (Å) after each atom.
Fractional coordinates of all 12 atoms:
Tm1 0.5000 0.0000 0.5000  8 Tm 3.43-3.46, 4 Sc 3.44
Tm2 0.5000 0.0000 0.8293  2 Sc 3.43, 8 Tm 3.44-3.50, 2 Dy 3.50
Tm3 0.5000 0.0000 0.1707  2 Sc 3.43, 8 Tm 3.44-3.50, 2 Dy 3.50
Tm4 0.5000 0.5000 0.3358  8 Tm 3.43-3.44, 4 Sc 3.46
Tm5 0.0000 0.5000 0.8293  2 Sc 3.43, 8 Tm 3.44-3.50, 2 Dy 3.50
Tm6 0.5000 0.5000 0.6642  8 Tm 3.43-3.44, 4 Sc 3.46
Sc1 0.0000 0.0000 0.6651  12 Tm 3.43-3.46
Tm7 0.0000 0.5000 0.5000  8 Tm 3.43-3.46, 4 Sc 3.44
Tm8 0.5000 0.5000 0.0000  4 Dy 3.46, 8 Tm 3.50
Tm9 0.0000 0.5000 0.1707  2 Sc 3.43, 8 Tm 3.44-3.50, 2 Dy 3.50
Dy1 0.0000 0.0000 0.0000  12 Tm 3.46-3.50
Sc2 0.0000 0.0000 0.3349  12 Tm 3.43-3.46

Summary:
Crystal system: tetragonal
Mass density: 8.41 Mg/m³
V: 350 Å³/cell

---

Energy of formation in eV/atom, matching the order above: 0.2283; -0.1680; 0.0398